[1]
Entry from the Alexandria database: a relaxed Rb6Au2I crystal (GGA-PBE).

- SG = Immm (71)

The structure in extended XYZ format:
```
18
Lattice="-5.675 6.280 6.523 5.675 -6.280 6.523 5.675 6.280 -6.523" Properties=species:S:1:pos:R:3 pbc="T T T"
Rb 5.675 3.566 -3.564
Rb 3.231 2.168 0.000
Rb 8.119 2.168 0.000
Rb 2.252 6.280 -2.203
Rb 3.424 0.000 4.320
Rb 0.000 2.714 2.959
Rb 5.675 3.566 3.564
Rb 2.252 6.280 2.203
Rb 3.424 0.000 8.727
Rb -2.444 4.111 6.523
Rb 2.444 4.111 6.523
Rb 0.000 2.714 10.088
Au 5.675 0.000 1.457
Au 0.000 4.739 0.000
Au 0.000 7.821 0.000
Au 0.000 6.280 5.066
I 0.000 0.000 0.000
I 0.000 0.000 6.523
```


[2]
Entry from the Alexandria database: a relaxed Rb4AuI5 crystal (GGA-PBE).

- SG = I4 (79)

The structure in extended XYZ format:
```
10
Lattice="-5.647 5.647 3.707 5.647 -5.647 3.707 5.647 5.647 -3.707" Properties=species:S:1:pos:R:3 pbc="T T T"
Rb 3.404 1.034 0.000
Rb 4.612 -2.243 3.707
Rb 1.034 7.889 0.000
Rb 2.243 4.612 3.707
Au 0.000 0.000 4.536
I 6.628 2.692 0.005
I 2.692 4.666 0.005
I 2.955 0.981 3.712
I -0.981 2.955 3.712
I 0.000 0.000 7.273
```


[3]
Entry from the Alexandria database: a relaxed Rb5AuI4 crystal (GGA-PBE).

- SG = I4/mmm (139)

The structure in extended XYZ format:
```
10
Lattice="-2.624 2.624 18.527 2.624 -2.624 18.527 2.624 2.624 -18.527" Properties=species:S:1:pos:R:3 pbc="T T T"
Rb 0.000 0.000 0.000
Rb 0.000 0.000 7.409
Rb 0.000 0.000 14.911
Rb 0.000 0.000 22.143
Rb 0.000 0.000 29.645
Au 0.000 0.000 18.527
I 0.000 0.000 3.677
I 0.000 0.000 11.147
I 0.000 0.000 25.907
I 0.000 0.000 33.377
```


[4]
Entry from the Alexandria database: a relaxed RbAu3I crystal (GGA-PBE).

- energy above the most stable polymorph in this dataset (meV/atom) = 874
- SG = Pm-3m (221)

The structure in extended XYZ format:
```
5
Lattice="5.928 0.000 0.000 0.000 5.928 0.000 0.000 0.000 5.928" Properties=species:S:1:pos:R:3 pbc="T T T"
Rb 0.000 0.000 0.000
Au 0.000 0.000 2.964
Au 0.000 2.964 0.000
Au 2.964 0.000 0.000
I 2.964 2.964 2.964
```


[5]
Entry from the Alexandria database: a relaxed Rb12Au5I3 crystal (GGA-PBE).

- SG = Ia-3d (230)

The structure in extended XYZ format:
```
80
Lattice="-10.546 10.546 10.546 10.546 -10.546 10.546 10.546 10.546 -10.546" Properties=species:S:1:pos:R:3 pbc="T T T"
Rb 3.140 -0.558 1.430
Rb 12.680 6.703 -5.831
Rb 9.989 -1.430 3.140
Rb 16.377 -2.134 3.843
Rb 13.686 0.558 1.430
Rb 12.680 -3.843 5.831
Rb 1.430 3.140 -0.558
Rb 14.389 4.715 -2.134
Rb 6.703 5.831 -2.134
Rb 9.116 3.140 0.558
Rb -0.558 1.430 3.140
Rb 5.831 -2.134 6.703
Rb 9.989 9.116 -3.140
Rb 5.831 2.134 3.843
Rb 9.116 -3.140 9.989
Rb 6.703 -5.831 12.680
Rb 3.843 5.831 2.134
Rb 11.976 7.407 0.558
Rb 3.140 9.989 -1.430
Rb 12.680 3.843 4.715
Rb 5.831 12.680 -3.843
Rb 9.989 1.430 7.407
Rb 2.134 3.843 5.831
Rb 3.140 0.558 9.116
Rb 7.407 9.989 1.430
Rb 8.413 6.703 4.715
Rb 0.558 9.116 3.140
Rb 4.715 -2.134 14.389
Rb -2.134 6.703 5.831
Rb 7.407 0.558 11.976
Rb -1.430 3.140 9.989
Rb 6.703 4.715 8.413
Rb 3.843 16.377 -2.134
Rb 1.430 13.686 0.558
Rb 4.715 8.413 6.703
Rb 0.558 1.430 13.686
Rb 4.715 12.680 3.843
Rb 11.104 9.116 7.407
Rb 1.430 7.407 9.989
Rb 3.843 4.715 12.680
Rb -3.843 5.831 12.680
Rb 9.116 7.407 11.104
Rb -2.134 14.389 4.715
Rb -3.140 9.989 9.116
Rb -5.831 12.680 6.703
Rb 0.558 11.976 7.407
Rb -2.134 3.843 16.377
Rb 7.407 11.104 9.116
Au 0.000 0.000 0.000
Au 5.273 5.273 -5.273
Au 5.273 -5.273 5.273
Au 10.546 0.000 0.000
Au 15.819 2.637 0.000
Au 10.546 -5.273 7.910
Au 7.910 10.546 -5.273
Au 7.910 0.000 5.273
Au 5.273 7.910 0.000
Au 10.546 5.273 2.637
Au -5.273 5.273 5.273
Au 0.000 10.546 0.000
Au 0.000 0.000 10.546
Au 5.273 5.273 5.273
Au 0.000 5.273 7.910
Au 5.273 2.637 10.546
Au 2.637 10.546 5.273
Au 2.637 0.000 15.819
Au 0.000 15.819 2.637
Au -5.273 7.910 10.546
I 5.273 2.637 0.000
I 10.546 5.273 -2.637
I 2.637 0.000 5.273
I 13.183 0.000 5.273
I 0.000 5.273 2.637
I 5.273 -2.637 10.546
I 5.273 13.183 0.000
I 10.546 5.273 7.910
I -2.637 10.546 5.273
I 7.910 10.546 5.273
I 0.000 5.273 13.183
I 5.273 7.910 10.546
```


[6]
Entry from the Alexandria database: a relaxed Rb5Au4I crystal (GGA-PBE).

- SG = P4/mmm (123)

The structure in extended XYZ format:
```
10
Lattice="4.259 0.000 0.000 0.000 4.259 0.000 0.000 0.000 21.134" Properties=species:S:1:pos:R:3 pbc="T T T"
Rb 0.000 0.000 0.000
Rb 0.000 0.000 4.129
Rb 0.000 0.000 8.308
Rb 0.000 0.000 12.825
Rb 0.000 0.000 17.005
Au 2.130 2.130 2.066
Au 2.130 2.130 6.172
Au 2.130 2.130 14.961
Au 2.130 2.130 19.068
I 2.130 2.130 10.567
```


Asked for electronic total energy across the records above, the calculation gives -1.9689; -2.6015; -2.6797; -1.3290; -2.1150; -2.4541 eV per atom in order.
Asked for V across the records above, the calculation gives 51.67; 47.29; 51.02; 41.65; 58.65; 38.34 Å³ per atom in order.